one.
A relaxed structure of Tb3AlGa2. Source: the Alexandria database, functional GGA-PBE.

CIF file:
```
data_Tb3AlGa2
_cell_length_a 3.5834
_cell_length_b 3.5834
_cell_length_c 10.8882
_cell_angle_alpha 90.00
_cell_angle_beta 90.00
_cell_angle_gamma 90.00
_space_group_name_H-M_alt 'P 1'
_space_group_IT_number 1
loop_
_space_group_symop_operation_xyz
'x,y,z'
loop_
_atom_site_label
_atom_site_fract_x
_atom_site_fract_y
_atom_site_fract_z
Tb1 0.0000 0.0000 0.0000
Tb2 0.0000 0.0000 0.3309
Tb3 0.0000 0.0000 0.6691
Al1 0.5000 0.5000 0.5000
Ga1 0.5000 0.5000 0.1658
Ga2 0.5000 0.5000 0.8342
```

Results
As for the space group: P4/mmm, No. 123.

=====

two.
A relaxed structure of Tb3AlGa2. Source: the Alexandria database, functional GGA-PBE.

CIF file:
```
data_Tb3AlGa2
_cell_length_a 11.7657
_cell_length_b 4.4501
_cell_length_c 11.0919
_cell_angle_alpha 90.00
_cell_angle_beta 90.00
_cell_angle_gamma 90.00
_space_group_name_H-M_alt 'P 1'
_space_group_IT_number 1
loop_
_space_group_symop_operation_xyz
'x,y,z'
loop_
_atom_site_label
_atom_site_fract_x
_atom_site_fract_y
_atom_site_fract_z
Tb1 0.0489 0.2500 0.1279
Tb2 0.1416 0.7500 0.5848
Tb3 0.2066 0.2500 0.8180
Tb4 0.2934 0.7500 0.3180
Tb5 0.3584 0.2500 0.0848
Tb6 0.4511 0.7500 0.6279
Tb7 0.5489 0.2500 0.3721
Tb8 0.6416 0.7500 0.9152
Tb9 0.7066 0.2500 0.6820
Tb10 0.7934 0.7500 0.1820
Tb11 0.8584 0.2500 0.4152
Tb12 0.9511 0.7500 0.8721
Al1 0.1264 0.2500 0.3929
Al2 0.3736 0.7500 0.8929
Al3 0.6264 0.2500 0.1071
Al4 0.8736 0.7500 0.6071
Ga1 0.0159 0.7500 0.3312
Ga2 0.1846 0.7500 0.0196
Ga3 0.3154 0.2500 0.5196
Ga4 0.4841 0.2500 0.8312
Ga5 0.5159 0.7500 0.1688
Ga6 0.6846 0.7500 0.4804
Ga7 0.8154 0.2500 0.9804
Ga8 0.9841 0.2500 0.6688
```

Results
As for the space group: Pnma, No. 62.

=====

Most stable one: one, least stable one: two.

=====

one.
A relaxed structure of Tb2Al2Ga3. Source: the Alexandria database, functional GGA-PBE.

CIF file:
```
data_Tb2Al2Ga3
_cell_length_a 9.7163
_cell_length_b 9.7163
_cell_length_c 7.1788
_cell_angle_alpha 90.00
_cell_angle_beta 90.00
_cell_angle_gamma 154.96
_space_group_name_H-M_alt 'P 1'
_space_group_IT_number 1
loop_
_space_group_symop_operation_xyz
'x,y,z'
loop_
_atom_site_label
_atom_site_fract_x
_atom_site_fract_y
_atom_site_fract_z
Tb1 0.0551 0.9449 0.7500
Tb2 0.1550 0.8450 0.2500
Tb3 0.8450 0.1550 0.7500
Tb4 0.9449 0.0551 0.2500
Al1 0.3230 0.6770 0.0665
Al2 0.3230 0.6770 0.4335
Al3 0.6770 0.3230 0.5665
Al4 0.6770 0.3230 0.9335
Ga1 0.2266 0.7734 0.7500
Ga2 0.4433 0.5567 0.5770
Ga3 0.4433 0.5567 0.9230
Ga4 0.5567 0.4433 0.0770
Ga5 0.5567 0.4433 0.4230
Ga6 0.7734 0.2266 0.2500
```

Results
As for the space group: Cmcm, No. 63.

=====

two.
A relaxed structure of Tb2Al2Ga3. Source: the Alexandria database, functional GGA-PBE.

CIF file:
```
data_Tb2Al2Ga3
_cell_length_a 6.2082
_cell_length_b 6.2082
_cell_length_c 6.2082
_cell_angle_alpha 55.46
_cell_angle_beta 55.46
_cell_angle_gamma 55.46
_space_group_name_H-M_alt 'P 1'
_space_group_IT_number 1
loop_
_space_group_symop_operation_xyz
'x,y,z'
loop_
_atom_site_label
_atom_site_fract_x
_atom_site_fract_y
_atom_site_fract_z
Tb1 0.0000 0.0000 0.0000
Tb2 0.5000 0.5000 0.5000
Al1 0.1988 0.1988 0.1988
Al2 0.8012 0.8012 0.8012
Ga1 0.0000 0.5000 0.5000
Ga2 0.5000 0.0000 0.5000
Ga3 0.5000 0.5000 0.0000
```

Results
As for the space group: R-3m, No. 166.

=====

Most stable one: one, least stable one: two.

=====

one.
A relaxed structure of Tb8Al2Ga. Source: the Alexandria database, functional GGA-PBE.

CIF file:
```
data_Tb8Al2Ga
_cell_length_a 8.7008
_cell_length_b 8.7008
_cell_length_c 8.7008
_cell_angle_alpha 146.57
_cell_angle_beta 122.62
_cell_angle_gamma 68.06
_space_group_name_H-M_alt 'P 1'
_space_group_IT_number 1
loop_
_space_group_symop_operation_xyz
'x,y,z'
loop_
_atom_site_label
_atom_site_fract_x
_atom_site_fract_y
_atom_site_fract_z
Tb1 0.1219 0.3414 0.7805
Tb2 0.1389 0.1389 0.0000
Tb3 0.3151 0.0000 0.3151
Tb4 0.4391 0.6586 0.7805
Tb5 0.5609 0.3414 0.2195
Tb6 0.6849 0.0000 0.6849
Tb7 0.8611 0.8611 0.0000
Tb8 0.8781 0.6586 0.2195
Al1 0.3062 0.8062 0.5000
Al2 0.6938 0.1938 0.5000
Ga1 0.0000 0.5000 0.5000
```

Results
As for the space group: Immm, No. 71.

=====

two.
A relaxed structure of Tb8Al2Ga. Source: the Alexandria database, functional GGA-PBE.

CIF file:
```
data_Tb8Al2Ga
_cell_length_a 9.5481
_cell_length_b 9.5481
_cell_length_c 6.7594
_cell_angle_alpha 103.11
_cell_angle_beta 103.11
_cell_angle_gamma 30.90
_space_group_name_H-M_alt 'P 1'
_space_group_IT_number 1
loop_
_space_group_symop_operation_xyz
'x,y,z'
loop_
_atom_site_label
_atom_site_fract_x
_atom_site_fract_y
_atom_site_fract_z
Tb1 0.0207 0.0207 0.2688
Tb2 0.2066 0.2066 0.8013
Tb3 0.3432 0.3432 0.5319
Tb4 0.4064 0.4064 0.0385
Tb5 0.5936 0.5936 0.9615
Tb6 0.6568 0.6568 0.4681
Tb7 0.7934 0.7934 0.1987
Tb8 0.9793 0.9793 0.7312
Al1 0.1868 0.1868 0.2417
Al2 0.8132 0.8132 0.7583
Ga1 0.5000 0.5000 0.5000
```

Results
As for the space group: C2/m, No. 12.

=====

Most stable one: two, least stable one: one.

=====

one.
A relaxed structure of Tb6Al2Ga. Source: the Alexandria database, functional GGA-PBE.

CIF file:
```
data_Tb6Al2Ga
_cell_length_a 8.6291
_cell_length_b 8.6291
_cell_length_c 8.6291
_cell_angle_alpha 110.85
_cell_angle_beta 109.16
_cell_angle_gamma 108.40
_space_group_name_H-M_alt 'P 1'
_space_group_IT_number 1
loop_
_space_group_symop_operation_xyz
'x,y,z'
loop_
_atom_site_label
_atom_site_fract_x
_atom_site_fract_y
_atom_site_fract_z
Tb1 0.0447 0.8264 0.2183
Tb2 0.2532 0.5571 0.3039
Tb3 0.2532 0.9494 0.6961
Tb4 0.2611 0.3250 0.5861
Tb5 0.2611 0.6750 0.9361
Tb6 0.3919 0.1736 0.2183
Tb7 0.6081 0.8264 0.7817
Tb8 0.7389 0.3250 0.0639
Tb9 0.7389 0.6750 0.4139
Tb10 0.7468 0.0506 0.3039
Tb11 0.7468 0.4429 0.6961
Tb12 0.9553 0.1736 0.7817
Al1 0.0000 0.1376 0.1376
Al2 0.0000 0.8624 0.8624
Al3 0.3723 0.3723 0.0000
Al4 0.6277 0.6277 0.0000
Ga1 0.0000 0.5000 0.5000
Ga2 0.5000 0.0000 0.5000
```

Results
As for the space group: Immm, No. 71.

=====

two.
A relaxed structure of Tb6Al2Ga. Source: the Alexandria database, functional GGA-PBE.

CIF file:
```
data_Tb6Al2Ga
_cell_length_a 8.7230
_cell_length_b 8.7230
_cell_length_c 8.7230
_cell_angle_alpha 146.44
_cell_angle_beta 131.78
_cell_angle_gamma 60.03
_space_group_name_H-M_alt 'P 1'
_space_group_IT_number 1
loop_
_space_group_symop_operation_xyz
'x,y,z'
loop_
_atom_site_label
_atom_site_fract_x
_atom_site_fract_y
_atom_site_fract_z
Tb1 0.0831 0.3346 0.7486
Tb2 0.2470 0.0000 0.2470
Tb3 0.4140 0.6654 0.7486
Tb4 0.5860 0.3346 0.2514
Tb5 0.7530 0.0000 0.7530
Tb6 0.9169 0.6654 0.2514
Al1 0.3338 0.8338 0.5000
Al2 0.6662 0.1662 0.5000
Ga1 0.0000 0.5000 0.5000
```

Results
As for the space group: Immm, No. 71.

=====

Most stable one: one, least stable one: two.

=====

one.
A relaxed structure of Al3GaTc. Source: the Alexandria database, functional GGA-PBE.

CIF file:
```
data_Al3GaTc
_cell_length_a 4.7037
_cell_length_b 4.7037
_cell_length_c 4.7037
_cell_angle_alpha 90.00
_cell_angle_beta 90.00
_cell_angle_gamma 90.00
_space_group_name_H-M_alt 'P 1'
_space_group_IT_number 1
loop_
_space_group_symop_operation_xyz
'x,y,z'
loop_
_atom_site_label
_atom_site_fract_x
_atom_site_fract_y
_atom_site_fract_z
Al1 0.0000 0.0000 0.5000
Al2 0.0000 0.5000 0.0000
Al3 0.5000 0.0000 0.0000
Ga1 0.0000 0.0000 0.0000
Tc1 0.5000 0.5000 0.5000
```

Results
As for the space group: Pm-3m, No. 221.

=====

two.
A relaxed structure of Al3GaTc. Source: the Alexandria database, functional GGA-PBE.

CIF file:
```
data_Al3GaTc
_cell_length_a 8.7536
_cell_length_b 8.7536
_cell_length_c 2.8039
_cell_angle_alpha 97.28
_cell_angle_beta 97.28
_cell_angle_gamma 49.84
_space_group_name_H-M_alt 'P 1'
_space_group_IT_number 1
loop_
_space_group_symop_operation_xyz
'x,y,z'
loop_
_atom_site_label
_atom_site_fract_x
_atom_site_fract_y
_atom_site_fract_z
Al1 0.0761 0.0761 0.3324
Al2 0.1375 0.5261 0.5661
Al3 0.4739 0.8625 0.4339
Al4 0.5261 0.1375 0.5661
Al5 0.8625 0.4739 0.4339
Al6 0.9239 0.9239 0.6676
Ga1 0.3249 0.6751 0.5000
Ga2 0.6751 0.3249 0.5000
Tc1 0.2196 0.2196 0.9713
Tc2 0.7804 0.7804 0.0287
```

Results
As for the space group: C2/m, No. 12.

=====

Most stable one: two, least stable one: one.